1.
VASP calculation (PBE-GGA) on a relaxed structure of BaCoPt.

Lattice parameters (Å, degrees): 4.9195 4.9195 4.9195 60.00 60.00 60.00
Closest atoms and distances in Å follow each position.
Fractional coordinates of all 3 atoms:
Ba: 0.0000 0.0000 0.0000  4 Pt 3.01
Co: 0.5000 0.5000 0.5000  4 Pt 3.01
Pt: 0.7500 0.7500 0.7500  4 Ba 3.01, 4 Co 3.01

Summary:
Energy, eV for the cell shown: -13.8
Formation energy, eV per atom: 0.433
Crystal system: cubic
Space group: F-43m

=====

2.
VASP calculation (PBE-GGA) on a relaxed structure of BaCoPt2.

Lattice parameters (Å, degrees): 5.3744 5.3744 5.3744 136.92 114.32 81.83
Closest atoms and distances in Å follow each position.
Fractional coordinates of all 4 atoms:
Ba: 0.0000 0.0000 0.0000  8 Pt 3.26, 4 Co 3.52
Co: 0.5000 0.5000 0.0000  4 Pt 2.46
Pt: 0.3196 0.8196 0.5000  2 Co 2.46
Pt: 0.6804 0.1804 0.5000  2 Co 2.46

Summary:
Energy, eV for the cell shown: -20.6
Formation energy, eV per atom: 0.133
Crystal system: orthorhombic
Space group: Immm

=====

3.
VASP calculation (PBE-GGA) on a relaxed structure of BaCo2Pt.

Lattice parameters (Å, degrees): 6.1558 6.1558 6.1558 40.70 40.70 40.70
Closest atoms and distances in Å follow each position.
Fractional coordinates of all 4 atoms:
Ba: 0.0000 0.0000 0.0000  1 Co 3.06, 1 Pt 3.17
Co: 0.4994 0.4994 0.4994  3 Co 2.48, 3 Pt 2.50
Co: 0.8193 0.8193 0.8193  3 Co 2.48, 3 Pt 2.54
Pt: 0.1871 0.1871 0.1871  6 Co 2.50-2.54

Summary:
Energy, eV for the cell shown: -22.6
Formation energy, eV per atom: -0.096
Crystal system: trigonal
Space group: R3m

=====

4.
VASP calculation (PBE-GGA) on a relaxed structure of BaCo2Pt.

Lattice parameters (Å, degrees): 4.8356 4.8356 4.8356 60.00 60.00 60.00
Closest atoms and distances in Å follow each position.
Fractional coordinates of all 4 atoms:
Ba: 0.0000 0.0000 0.0000  4 Pt 2.96, 4 Co 2.96
Co: 0.2500 0.2500 0.2500  4 Co 2.96, 4 Ba 2.96
Co: 0.5000 0.5000 0.5000  4 Pt 2.96, 4 Co 2.96
Pt: 0.7500 0.7500 0.7500  4 Ba 2.96, 4 Co 2.96

Summary:
Energy, eV for the cell shown: -19.2
Formation energy, eV per atom: 0.740
Crystal system: cubic
Space group: F-43m

=====

5.
VASP calculation (PBE-GGA) on a relaxed structure of BaCoPt2.

Lattice parameters (Å, degrees): 4.4701 4.4701 6.0872 111.54 111.54 59.99
Closest atoms and distances in Å follow each position.
Fractional coordinates of all 4 atoms:
Ba: 0.0000 0.0000 0.0000  1 Co 2.93, 1 Pt 3.07
Co: 0.1779 0.1779 0.5314  6 Pt 2.59-2.63
Pt: 0.4987 0.4987 0.4938  3 Co 2.59, 3 Pt 2.60
Pt: 0.8152 0.8152 0.4432  3 Pt 2.60, 3 Co 2.63

Summary:
Energy, eV for the cell shown: -22.5
Formation energy, eV per atom: -0.341
Crystal system: monoclinic
Space group: Cm

=====

6.
VASP calculation (PBE-GGA) on a relaxed structure of BaCoPt2.

Lattice parameters (Å, degrees): 4.8470 4.8470 4.8470 60.00 60.00 60.00
Closest atoms and distances in Å follow each position.
Fractional coordinates of all 4 atoms:
Ba: 0.0000 0.0000 0.0000  4 Co 2.97, 4 Pt 2.97
Co: 0.7500 0.7500 0.7500  4 Ba 2.97, 4 Pt 2.97
Pt: 0.2500 0.2500 0.2500  4 Ba 2.97, 4 Pt 2.97
Pt: 0.5000 0.5000 0.5000  4 Co 2.97, 4 Pt 2.97

Summary:
Energy, eV for the cell shown: -19.6
Formation energy, eV per atom: 0.383
Crystal system: cubic
Space group: F-43m

=====

7.
VASP calculation (PBE-GGA) on a relaxed structure of BaCoPt.

Lattice parameters (Å, degrees): 4.2054 4.2054 4.8470 90.00 90.00 120.00
Closest atoms and distances in Å follow each position.
Fractional coordinates of all 3 atoms:
Ba: 0.0000 0.0000 0.0000  6 Co 3.43, 6 Pt 3.43
Co: 0.6667 0.3333 0.5000  3 Pt 2.43
Pt: 0.3333 0.6667 0.5000  3 Co 2.43

Summary:
Energy, eV for the cell shown: -15.7
Formation energy, eV per atom: -0.210
Crystal system: hexagonal
Space group: P-6m2

=====

8.
VASP calculation (PBE-GGA) on a relaxed structure of BaCo2Pt.

Lattice parameters (Å, degrees): 4.8814 4.0188 4.9888 90.00 90.32 90.00
Closest atoms and distances in Å follow each position.
Fractional coordinates of all 4 atoms:
Ba: 0.0000 0.0000 0.0000  4 Pt 3.35-3.36, 8 Co 3.47-3.51
Co: 0.2785 0.5000 0.5011  2 Co 2.28, 2 Pt 2.36-2.53
Co: 0.4979 0.0000 0.4998  2 Co 2.28, 2 Pt 2.48
Pt: 0.7958 0.5000 0.4991  4 Co 2.36-2.53

Summary:
Energy, eV for the cell shown: -21.5
Formation energy, eV per atom: 0.162
Crystal system: monoclinic
Space group: Pm

=====

9.
VASP calculation (PBE-GGA) on a relaxed structure of BaCoPt.

Lattice parameters (Å, degrees): 5.0199 5.0199 5.0199 60.00 60.00 60.00
Closest atoms and distances in Å follow each position.
Fractional coordinates of all 3 atoms:
Ba: 0.0000 0.0000 0.0000  4 Co 3.07, 4 Pt 3.07
Co: 0.7500 0.7500 0.7500  4 Ba 3.07
Pt: 0.2500 0.2500 0.2500  4 Ba 3.07

Summary:
Energy, eV for the cell shown: -12.0
Formation energy, eV per atom: 1.025
Crystal system: cubic
Space group: F-43m

=====

10.
VASP calculation (PBE-GGA) on a relaxed structure of BaCoPt2.

Lattice parameters (Å, degrees): 3.2530 3.2530 7.5247 90.00 90.00 90.00
Closest atoms and distances in Å follow each position.
Fractional coordinates of all 4 atoms:
Ba: 0.0000 0.0000 0.0000  4 Ba 3.25, 8 Pt 3.33
Co: 0.0000 0.0000 0.5000  8 Pt 2.67
Pt: 0.5000 0.5000 0.3192  4 Co 2.67, 1 Pt 2.72
Pt: 0.5000 0.5000 0.6808  4 Co 2.67, 1 Pt 2.72

Summary:
Energy, eV for the cell shown: -21.0
Formation energy, eV per atom: 0.018
Crystal system: tetragonal
Space group: P4/mmm

=====

11.
VASP calculation (PBE-GGA) on a relaxed structure of BaCoRe2Pt.

Lattice parameters (Å, degrees): 4.8264 4.8264 5.8840 90.00 90.00 90.00
Closest atoms and distances in Å follow each position.
Fractional coordinates of all 5 atoms:
Ba: 0.0000 0.0000 0.0000  2 Pt 2.94
Co: 0.5000 0.5000 0.0000  4 Ba 3.41, 8 Re 3.81
Re: 0.0000 0.5000 0.5000  2 Pt 2.41
Re: 0.5000 0.0000 0.5000  2 Pt 2.41
Pt: 0.0000 0.0000 0.5000  4 Re 2.41

Summary:
Energy, eV for the cell shown: -29.8
Formation energy, eV per atom: 2.035
Crystal system: tetragonal
Space group: P4/mmm

=====

12.
VASP calculation (PBE-GGA) on a relaxed structure of BaCoSn2Pt.

Lattice parameters (Å, degrees): 5.2556 5.2556 5.0362 90.00 90.00 90.00
Closest atoms and distances in Å follow each position.
Fractional coordinates of all 5 atoms:
Ba: 0.0000 0.0000 0.0000  8 Sn 3.64, 4 Co 3.72
Co: 0.5000 0.5000 0.0000  2 Pt 2.52
Sn: 0.0000 0.5000 0.5000  2 Pt 2.63
Sn: 0.5000 0.0000 0.5000  2 Pt 2.63
Pt: 0.5000 0.5000 0.5000  2 Co 2.52, 4 Sn 2.63

Summary:
Energy, eV for the cell shown: -22.8
Formation energy, eV per atom: 0.046
Crystal system: tetragonal
Space group: P4/mmm

=====

Question: The lowest formation energy belongs to which entry?
Answer: number 5

=====

Question: What is the formula in the sixth record?
Answer: BaCoPt2

=====

Repeat the fourth record exactly.
VASP calculation (PBE-GGA) on a relaxed structure of BaCo2Pt.

Lattice parameters (Å, degrees): 4.8356 4.8356 4.8356 60.00 60.00 60.00
Closest atoms and distances in Å follow each position.
Fractional coordinates of all 4 atoms:
Ba: 0.0000 0.0000 0.0000  4 Pt 2.96, 4 Co 2.96
Co: 0.2500 0.2500 0.2500  4 Co 2.96, 4 Ba 2.96
Co: 0.5000 0.5000 0.5000  4 Pt 2.96, 4 Co 2.96
Pt: 0.7500 0.7500 0.7500  4 Ba 2.96, 4 Co 2.96

Summary:
Energy, eV for the cell shown: -19.2
Formation energy, eV per atom: 0.740
Crystal system: cubic
Space group: F-43m

=====

Please write out number 5 again, unchanged.
VASP calculation (PBE-GGA) on a relaxed structure of BaCoPt2.

Lattice parameters (Å, degrees): 4.4701 4.4701 6.0872 111.54 111.54 59.99
Closest atoms and distances in Å follow each position.
Fractional coordinates of all 4 atoms:
Ba: 0.0000 0.0000 0.0000  1 Co 2.93, 1 Pt 3.07
Co: 0.1779 0.1779 0.5314  6 Pt 2.59-2.63
Pt: 0.4987 0.4987 0.4938  3 Co 2.59, 3 Pt 2.60
Pt: 0.8152 0.8152 0.4432  3 Pt 2.60, 3 Co 2.63

Summary:
Energy, eV for the cell shown: -22.5
Formation energy, eV per atom: -0.341
Crystal system: monoclinic
Space group: Cm